The following is a DFT calculation (PBE with a Hubbard U) of Na2NiPO4F after structural relaxation.

a b c (Å): 13.590 5.259 13.851
angles (deg): 90.00 120.56 90.00
Sites, in units of the cell vectors:
Na: 0.081 0.228 0.412
Na: 0.081 0.272 0.912
Na: 0.170 0.737 0.081
Na: 0.170 0.763 0.581
Na: 0.329 0.237 0.662
Na: 0.329 0.263 0.162
Na: 0.419 0.739 0.582
Na: 0.419 0.761 0.082
Na: 0.581 0.239 0.918
Na: 0.581 0.261 0.418
Na: 0.671 0.737 0.838
Na: 0.671 0.763 0.338
Na: 0.830 0.237 0.419
Na: 0.830 0.263 0.919
Na: 0.919 0.728 0.088
Na: 0.919 0.772 0.588
Ni: 0.177 0.714 0.351
Ni: 0.177 0.786 0.851
Ni: 0.323 0.222 0.925
Ni: 0.323 0.278 0.425
Ni: 0.677 0.722 0.575
Ni: 0.677 0.778 0.075
Ni: 0.823 0.214 0.149
Ni: 0.823 0.286 0.649
P: 0.088 0.201 0.177
P: 0.088 0.299 0.677
P: 0.412 0.708 0.839
P: 0.412 0.792 0.339
P: 0.588 0.208 0.661
P: 0.588 0.292 0.161
P: 0.912 0.701 0.323
P: 0.912 0.799 0.823
O: 0.042 0.735 0.878
O: 0.042 0.765 0.378
O: 0.107 0.592 0.701
O: 0.107 0.908 0.201
O: 0.130 0.213 0.599
O: 0.130 0.287 0.099
O: 0.154 0.157 0.793
O: 0.154 0.343 0.293
O: 0.346 0.647 0.387
O: 0.346 0.853 0.887
O: 0.369 0.711 0.217
O: 0.369 0.789 0.717
O: 0.394 0.085 0.345
O: 0.394 0.415 0.845
O: 0.459 0.227 0.088
O: 0.459 0.273 0.588
O: 0.541 0.727 0.412
O: 0.541 0.773 0.912
O: 0.606 0.585 0.155
O: 0.606 0.915 0.655
O: 0.631 0.211 0.283
O: 0.631 0.289 0.783
O: 0.654 0.147 0.113
O: 0.654 0.353 0.613
O: 0.846 0.657 0.707
O: 0.846 0.843 0.207
O: 0.870 0.713 0.901
O: 0.870 0.787 0.401
O: 0.893 0.092 0.799
O: 0.893 0.408 0.299
O: 0.958 0.235 0.622
O: 0.958 0.265 0.122
F: 0.247 0.005 0.000
F: 0.247 0.495 0.500
F: 0.253 0.506 0.970
F: 0.253 0.994 0.470
F: 0.747 0.006 0.530
F: 0.747 0.494 0.030
F: 0.753 0.505 0.500
F: 0.753 0.995 0.000

Results
total magnetization	15.5	Bohr magnetons per cell
symmetry	P2_1/c, No. 14
theoretical density	3.41	g cm⁻³
DOS at the Fermi energy	0.000	states/eV per cell
E	-5.744	eV/atom